VASP calculation (PBE-GGA) on Li5ZnIn2Ag2 after structural relaxation.

The structure in CIF format:
```
data_Li5ZnIn2Ag2
_chemical_formula_sum 'Li10 Zn2 In4 Ag4'
_cell_length_a 3.741
_cell_length_b 9.886
_cell_length_c 9.886
_cell_angle_alpha 90.00
_cell_angle_beta 90.00
_cell_angle_gamma 90.00
_space_group_name_H-M_alt 'P 1'
_space_group_IT_number 1
loop_
_space_group_symop_operation_xyz
'x,y,z'
loop_
_atom_site_label
_atom_site_fract_x
_atom_site_fract_y
_atom_site_fract_z
_atom_site_occupancy
Li1 0.500 0.071 0.811 1
Ag1 0.000 0.129 0.629 1
Ag2 0.000 0.871 0.371 1
Zn1 0.000 0.500 0.500 1
Li2 0.500 0.571 0.689 1
In1 0.000 0.669 0.169 1
Ag3 0.000 0.371 0.129 1
In2 0.000 0.169 0.331 1
Li3 0.500 0.811 0.929 1
Li4 0.500 0.429 0.311 1
Li5 0.500 0.000 0.500 1
Li6 0.500 0.311 0.571 1
Ag4 0.000 0.629 0.871 1
Li7 0.500 0.929 0.189 1
Li8 0.500 0.500 0.000 1
In3 0.000 0.331 0.831 1
In4 0.000 0.831 0.669 1
Zn2 0.000 0.000 0.000 1
Li9 0.500 0.689 0.429 1
Li10 0.500 0.189 0.071 1
```

Summary:
Total magnetization: 0.000 μB per formula unit
VASP energy: -2.360 eV/atom
ΔH_f (0 K): -1.576 eV/f.u.
SG: No. 127
DOS at the Fermi energy: 6.39 states/eV per cell